Entry from Alexandria: a geometry-optimized LaYGe3 structure (PBE).

Calculated values
DOS at the Fermi energy	12.25	states/eV/cell
formation energy from the elements	-72.7	kJ/mol of atoms
electronic total energy	-5.802	eV per atom
ρ	6.22	g/cm3

Cell and atoms, written as CIF:
```
data_LaYGe3
_symmetry_space_group_name_H-M 'C m c m'
_symmetry_Int_Tables_number 63
_symmetry_space_group_name_Hall '-C 2c 2'
_cell_length_a 4.348
_cell_length_b 27.088
_cell_length_c 4.043
_cell_angle_alpha 90.00
_cell_angle_beta 90.00
_cell_angle_gamma 90.00
loop_
_atom_site_label
_atom_site_type_symbol
_atom_site_fract_x
_atom_site_fract_y
_atom_site_fract_z
La1 La 0.000 0.074 0.250
Y1 Y 0.000 0.204 0.750
Ge1 Ge 0.000 0.313 0.750
Ge2 Ge 0.000 0.375 0.250
Ge3 Ge 0.000 0.472 0.250
```